Density functional theory data (PBE) for a relaxed NaScS2 crystal.

Output
The value obtained for the formation energy without anion corrections is -1.703 eV/atom. The value obtained for the magnetic moment is 0.000 μB per formula unit. The space group is No. 15.

Structure (POSCAR):
```
NaScS2
1.0
6.620 -3.930 0.000
6.620 3.930 0.000
-4.689 0.000 12.364
Na Sc S
8 8 16
Direct
0.115 0.127 0.118
0.117 0.635 0.126
0.127 0.115 0.618
0.365 0.883 0.374
0.635 0.117 0.626
0.873 0.885 0.382
0.883 0.365 0.874
0.885 0.873 0.882
0.126 0.626 0.628
0.366 0.377 0.373
0.374 0.874 0.872
0.377 0.366 0.873
0.623 0.634 0.127
0.626 0.126 0.128
0.634 0.623 0.627
0.874 0.374 0.372
0.015 0.495 0.744
0.033 0.967 0.750
0.233 0.277 0.490
0.277 0.233 0.990
0.277 0.715 0.506
0.285 0.723 0.994
0.490 0.510 0.750
0.495 0.015 0.244
0.505 0.985 0.756
0.510 0.490 0.250
0.715 0.277 0.006
0.723 0.285 0.494
0.723 0.767 0.010
0.767 0.723 0.510
0.967 0.033 0.250
0.985 0.505 0.256
```